VASP calculation (PBE) on a relaxed MgReSe2 crystal.

Cell: 3.1538 3.8445 12.3081 Å, 90.00 90.00 90.00°
Space group Imm2 (No. 44)
Unique sites:
1 Mg 0.0000 0.0000 0.0000 [2 per cell]
2 Re 0.0000 0.5000 0.7290 [2 per cell]
3 Se 0.0000 0.0000 0.3929 [2 per cell]
4 Se 0.0000 0.5000 0.1602 [2 per cell]

Results
D(E_F): 2.32 states/eV/f.u.
E_tot: -5.25 eV/atom
ΔE_f (raw): -0.0003 eV/atom

=====

VASP calculation (PBE) on a relaxed Mg2ReSe crystal.

Cell: 3.1395 3.1395 25.0198 Å, 90.00 90.00 120.00°
Space group R-3m (No. 166, hexagonal axes)
Unique sites:
1 Mg 0.0000 0.0000 0.2475 [6 per cell]
2 Re 0.0000 0.0000 0.0000 [3 per cell]
3 Se 0.0000 0.0000 0.5000 [3 per cell]

Results
D(E_F): 2.30 states/eV/f.u.
E_tot: -4.62 eV/atom
ΔE_f (raw): 0.1573 eV/atom